## Ag2I3Cl (PBE-GGA)

Data for crystalline Ag2I3Cl at its relaxed geometry.

Space-group type ... Pm

a = 7.4271 Å, b = 3.9265 Å, c = 8.1483 Å
α = 90.00°, β = 116.04°, γ = 90.00°
With the nearest neighbours (Å) after each atom.
Positions (direct):
1 Ag 0.0000 0.0000 0.0000  2 Cl 2.55, 2 I 2.81
2 Ag 0.4846 0.5000 0.4997  4 I 2.77-2.78
3 I 0.2169 0.0000 0.4918  2 Ag 2.77
4 I 0.7265 0.5000 0.9920  2 Ag 2.81
5 I 0.7497 0.0000 0.5008  2 Ag 2.78
6 Cl 0.2229 0.5000 0.0096  2 Ag 2.55



## KAg2ICl2 (PBE-GGA)

Data for crystalline KAg2ICl2 at its relaxed geometry.

Space-group type ... P2_1/m

a = 7.2700 Å, b = 5.7620 Å, c = 9.5220 Å
α = 90.00°, β = 110.12°, γ = 90.00°
With the nearest neighbours (Å) after each atom.
Positions (direct):
1 K 0.1788 0.2500 0.4037  4 Cl 3.10-3.35
2 K 0.8212 0.7500 0.5963  4 Cl 3.10-3.35
3 Ag 0.3844 0.9998 0.8391  2 Cl 2.65-2.66, 3 Ag 2.88-2.94, 2 I 2.91-2.93
4 Ag 0.3844 0.5002 0.8391  2 Cl 2.65-2.66, 3 Ag 2.88-2.94, 2 I 2.91-2.93
5 Ag 0.6156 0.0002 0.1609  2 Cl 2.65-2.66, 3 Ag 2.88-2.94, 2 I 2.91-2.93
6 Ag 0.6156 0.4998 0.1609  2 Cl 2.65-2.66, 3 Ag 2.88-2.94, 2 I 2.91-2.93
7 I 0.2461 0.7500 0.0516  4 Ag 2.91-2.93
8 I 0.7539 0.2500 0.9484  4 Ag 2.91-2.93
9 Cl 0.0686 0.2500 0.6924  2 Ag 2.66
10 Cl 0.4023 0.7500 0.6108  2 Ag 2.65
11 Cl 0.5977 0.2500 0.3892  2 Ag 2.65
12 Cl 0.9314 0.7500 0.3076  2 Ag 2.66



## LiAg4ICl2 (PBE-GGA)

Data for crystalline LiAg4ICl2 at its relaxed geometry.

Space-group type ... I-4

a = 7.5388 Å, b = 7.5388 Å, c = 7.5388 Å
α = 131.59°, β = 131.59°, γ = 70.87°
With the nearest neighbours (Å) after each atom.
Positions (direct):
1 Li 0.0000 0.0000 0.0000  4 Ag 2.55
2 Ag 0.1448 0.1160 0.4880  1 Li 2.55, 2 Cl 2.64-2.66, 1 I 2.86
3 Ag 0.3432 0.8552 0.9712  1 Li 2.55, 2 Cl 2.64-2.66, 1 I 2.86
4 Ag 0.6280 0.6568 0.5120  1 Li 2.55, 2 Cl 2.64-2.66, 1 I 2.86
5 Ag 0.8840 0.3720 0.0288  1 Li 2.55, 2 Cl 2.64-2.66, 1 I 2.86
6 I 0.7500 0.2500 0.5000  4 Ag 2.86
7 Cl 0.2500 0.7500 0.5000  4 Ag 2.66
8 Cl 0.5000 0.5000 0.0000  4 Ag 2.64



## RbAg2ICl2 (PBE-GGA)

Data for crystalline RbAg2ICl2 at its relaxed geometry.

Space-group type ... P2_1/m

a = 7.5815 Å, b = 5.8165 Å, c = 9.3332 Å
α = 90.00°, β = 109.44°, γ = 90.00°
With the nearest neighbours (Å) after each atom.
Positions (direct):
1 Rb 0.1773 0.2500 0.3880  6 Cl 3.28-3.60
2 Rb 0.8227 0.7500 0.6120  6 Cl 3.28-3.60
3 Ag 0.3828 0.9996 0.8392  2 Cl 2.64-2.65, 3 Ag 2.90-2.93, 2 I 2.91-2.93
4 Ag 0.3828 0.5004 0.8392  2 Cl 2.64-2.65, 3 Ag 2.90-2.93, 2 I 2.91-2.93
5 Ag 0.6172 0.0004 0.1608  2 Cl 2.64-2.65, 3 Ag 2.90-2.93, 2 I 2.91-2.93
6 Ag 0.6172 0.4996 0.1608  2 Cl 2.64-2.65, 3 Ag 2.90-2.93, 2 I 2.91-2.93
7 I 0.2648 0.7500 0.0649  4 Ag 2.91-2.93
8 I 0.7352 0.2500 0.9351  4 Ag 2.91-2.93
9 Cl 0.0807 0.2500 0.7062  2 Ag 2.65
10 Cl 0.3869 0.7500 0.6047  2 Ag 2.64
11 Cl 0.6131 0.2500 0.3953  2 Ag 2.64
12 Cl 0.9193 0.7500 0.2938  2 Ag 2.65



## InAgCl3 (PBE-GGA)

Data for crystalline InAgCl3 at its relaxed geometry.

Space-group type ... Cmcm

a = 6.6565 Å, b = 6.6565 Å, c = 10.1334 Å
α = 90.00°, β = 90.00°, γ = 147.20°
With the nearest neighbours (Å) after each atom.
Positions (direct):
1 In 0.2393 0.7607 0.7500  6 Cl 2.78-2.88
2 In 0.7607 0.2393 0.2500  6 Cl 2.78-2.88
3 Ag 0.0000 0.0000 0.0000  6 Cl 2.70-2.84
4 Ag 0.0000 0.0000 0.5000  6 Cl 2.70-2.84
5 Cl 0.1004 0.8996 0.2500  2 In 2.78, 2 Ag 2.84
6 Cl 0.3605 0.6395 0.0753  2 Ag 2.70, 2 In 2.88
7 Cl 0.3605 0.6395 0.4247  2 Ag 2.70, 2 In 2.88
8 Cl 0.6395 0.3605 0.5753  2 Ag 2.70, 2 In 2.88
9 Cl 0.6395 0.3605 0.9247  2 Ag 2.70, 2 In 2.88
10 Cl 0.8996 0.1004 0.7500  2 In 2.78, 2 Ag 2.84



## In2NiAgCl6 (PBE-GGA)

Data for crystalline In2NiAgCl6 at its relaxed geometry.

Space-group type ... Fm-3m

a = 6.9582 Å, b = 6.9582 Å, c = 6.9582 Å
α = 60.00°, β = 60.00°, γ = 60.00°
With the nearest neighbours (Å) after each atom.
Positions (direct):
1 In 0.2500 0.2500 0.2500  12 Cl 3.48
2 In 0.7500 0.7500 0.7500  12 Cl 3.48
3 Ni 0.0000 0.0000 0.0000  6 Cl 2.32
4 Ag 0.5000 0.5000 0.5000  6 Cl 2.60
5 Cl 0.2358 0.2358 0.7642  1 Ni 2.32
6 Cl 0.2358 0.7642 0.2358  1 Ni 2.32
7 Cl 0.2358 0.7642 0.7642  1 Ni 2.32
8 Cl 0.7642 0.2358 0.2358  1 Ni 2.32
9 Cl 0.7642 0.2358 0.7642  1 Ni 2.32
10 Cl 0.7642 0.7642 0.2358  1 Ni 2.32



## Rb2InAgCl6 (PBE-GGA)

Data for crystalline Rb2InAgCl6 at its relaxed geometry.

Space-group type ... C2/m

a = 7.3989 Å, b = 7.3989 Å, c = 7.3982 Å
α = 119.95°, β = 119.95°, γ = 60.05°
With the nearest neighbours (Å) after each atom.
Positions (direct):
1 Rb 0.2501 0.2501 0.2500  12 Cl 3.69-3.71
2 Rb 0.7499 0.7499 0.7500  12 Cl 3.69-3.71
3 In 0.0000 0.0000 0.5000  6 Cl 2.54
4 Ag 0.5000 0.5000 0.0000  6 Cl 2.69
5 Cl 0.2421 0.7565 0.7424  1 In 2.54, 1 Ag 2.69
6 Cl 0.2430 0.2430 0.7439  1 In 2.54, 1 Ag 2.69
7 Cl 0.2435 0.7579 0.2576  1 In 2.54, 1 Ag 2.69
8 Cl 0.7565 0.2421 0.7424  1 In 2.54, 1 Ag 2.69
9 Cl 0.7570 0.7570 0.2561  1 In 2.54, 1 Ag 2.69
10 Cl 0.7579 0.2435 0.2576  1 In 2.54, 1 Ag 2.69



## Rb2InAgCl6 (PBE-GGA)

Data for crystalline Rb2InAgCl6 at its relaxed geometry.

Space-group type ... R3

a = 7.2809 Å, b = 7.2809 Å, c = 7.2809 Å
α = 61.80°, β = 61.80°, γ = 61.80°
With the nearest neighbours (Å) after each atom.
Positions (direct):
1 Rb 0.0000 0.0000 0.0000  6 Cl 3.29-3.64
2 Rb 0.4975 0.4975 0.4975  6 Cl 3.30-3.64
3 In 0.7492 0.7492 0.7492  6 Cl 2.56
4 Ag 0.2497 0.2497 0.2497  6 Cl 2.73-2.74
5 Cl 0.0498 0.5128 0.9319  1 In 2.56, 1 Ag 2.74
6 Cl 0.4478 0.9840 0.5670  1 In 2.56, 1 Ag 2.73
7 Cl 0.5128 0.9319 0.0498  1 In 2.56, 1 Ag 2.74
8 Cl 0.5670 0.4478 0.9840  1 In 2.56, 1 Ag 2.73
9 Cl 0.9319 0.0498 0.5128  1 In 2.56, 1 Ag 2.74
10 Cl 0.9840 0.5670 0.4478  1 In 2.56, 1 Ag 2.73



## In2AgSbCl6 (PBE-GGA)

Data for crystalline In2AgSbCl6 at its relaxed geometry.

Space-group type ... Fm-3m

a = 7.4968 Å, b = 7.4968 Å, c = 7.4968 Å
α = 60.00°, β = 60.00°, γ = 60.00°
With the nearest neighbours (Å) after each atom.
Positions (direct):
1 In 0.2500 0.2500 0.2500  12 Cl 3.75
2 In 0.7500 0.7500 0.7500  12 Cl 3.75
3 Ag 0.0000 0.0000 0.0000  6 Cl 2.66
4 Sb 0.5000 0.5000 0.5000  6 Cl 2.64
5 Cl 0.2507 0.2507 0.7493  1 Sb 2.64, 1 Ag 2.66
6 Cl 0.2507 0.7493 0.2507  1 Sb 2.64, 1 Ag 2.66
7 Cl 0.2507 0.7493 0.7493  1 Sb 2.64, 1 Ag 2.66
8 Cl 0.7493 0.2507 0.2507  1 Sb 2.64, 1 Ag 2.66
9 Cl 0.7493 0.2507 0.7493  1 Sb 2.64, 1 Ag 2.66
10 Cl 0.7493 0.7493 0.2507  1 Sb 2.64, 1 Ag 2.66



## In2AgSnCl6 (PBE-GGA)

Data for crystalline In2AgSnCl6 at its relaxed geometry.

Space-group type ... Fm-3m

a = 7.4278 Å, b = 7.4278 Å, c = 7.4278 Å
α = 60.00°, β = 60.00°, γ = 60.00°
With the nearest neighbours (Å) after each atom.
Positions (direct):
1 In 0.2500 0.2500 0.2500  12 Cl 3.71
2 In 0.7500 0.7500 0.7500  12 Cl 3.71
3 Ag 0.0000 0.0000 0.0000  6 Cl 2.63
4 Sn 0.5000 0.5000 0.5000  6 Cl 2.62
5 Cl 0.2504 0.2504 0.7496  1 Sn 2.62, 1 Ag 2.63
6 Cl 0.2504 0.7496 0.2504  1 Sn 2.62, 1 Ag 2.63
7 Cl 0.2504 0.7496 0.7496  1 Sn 2.62, 1 Ag 2.63
8 Cl 0.7496 0.2504 0.2504  1 Sn 2.62, 1 Ag 2.63
9 Cl 0.7496 0.2504 0.7496  1 Sn 2.62, 1 Ag 2.63
10 Cl 0.7496 0.7496 0.2504  1 Sn 2.62, 1 Ag 2.63



## In2AgTeCl6 (PBE-GGA)

Data for crystalline In2AgTeCl6 at its relaxed geometry.

Space-group type ... Fm-3m

a = 7.5032 Å, b = 7.5032 Å, c = 7.5032 Å
α = 60.00°, β = 60.00°, γ = 60.00°
With the nearest neighbours (Å) after each atom.
Positions (direct):
1 In 0.2500 0.2500 0.2500  12 Cl 3.75
2 In 0.7500 0.7500 0.7500  12 Cl 3.75
3 Ag 0.0000 0.0000 0.0000  6 Cl 2.63
4 Te 0.5000 0.5000 0.5000  6 Cl 2.67
5 Cl 0.2482 0.2482 0.7518  1 Ag 2.63, 1 Te 2.67
6 Cl 0.2482 0.7518 0.2482  1 Ag 2.63, 1 Te 2.67
7 Cl 0.2482 0.7518 0.7518  1 Ag 2.63, 1 Te 2.67
8 Cl 0.7518 0.2482 0.2482  1 Ag 2.63, 1 Te 2.67
9 Cl 0.7518 0.2482 0.7518  1 Ag 2.63, 1 Te 2.67
10 Cl 0.7518 0.7518 0.2482  1 Ag 2.63, 1 Te 2.67



## Tl2InAgCl6 (PBE-GGA)

Data for crystalline Tl2InAgCl6 at its relaxed geometry.

Space-group type ... P-31c

a = 7.1199 Å, b = 7.1199 Å, c = 14.1283 Å
α = 90.00°, β = 90.00°, γ = 120.00°
With the nearest neighbours (Å) after each atom.
Positions (direct):
1 Tl 0.3333 0.6667 0.1506  3 Cl 2.57, 1 Tl 2.81
2 Tl 0.3333 0.6667 0.3494  3 Cl 2.57, 1 Tl 2.81
3 Tl 0.6667 0.3333 0.6506  3 Cl 2.57, 1 Tl 2.81
4 Tl 0.6667 0.3333 0.8494  3 Cl 2.57, 1 Tl 2.81
5 In 0.3333 0.6667 0.7500  6 Cl 3.20
6 In 0.6667 0.3333 0.2500  6 Cl 3.20
7 Ag 0.0000 0.0000 0.2500  6 Cl 2.90
8 Ag 0.0000 0.0000 0.7500  6 Cl 2.90
9 Cl 0.0008 0.2979 0.3900  1 Tl 2.57
10 Cl 0.0008 0.7029 0.1100  1 Tl 2.57
11 Cl 0.2971 0.2979 0.1100  1 Tl 2.57
12 Cl 0.2971 0.9992 0.3900  1 Tl 2.57
13 Cl 0.2979 0.0008 0.8900  1 Tl 2.57
14 Cl 0.2979 0.2971 0.6100  1 Tl 2.57
15 Cl 0.7021 0.7029 0.3900  1 Tl 2.57
16 Cl 0.7021 0.9992 0.1100  1 Tl 2.57
17 Cl 0.7029 0.0008 0.6100  1 Tl 2.57
18 Cl 0.7029 0.7021 0.8900  1 Tl 2.57
19 Cl 0.9992 0.2971 0.8900  1 Tl 2.57
20 Cl 0.9992 0.7021 0.6100  1 Tl 2.57



Result set for final energy: -13.2; -34.4; -18.8; -34.3; -28.7; -31.0; -32.1; -32.1; -30.8; -31.1; -27.8; -54.2 eV per cell, one per record in the order listed.